Model i:
Compound: YCr2Ni
Source: Alexandria
Functional: GGA-PBE
Structure: relaxed

The value obtained for the total magnetization is 0.00 Bohr magnetons per cell. The calculated volume comes out at 18.51 A^3/atom.

The structure belongs to space group I4_1/amd (No. 141, origin choice 2); the cell edges are 4.1321, 4.1321 and 17.3479 Å and the angles 90.00°, 90.00° and 90.00°. The inequivalent atoms are Y at (0.0000, 0.2500, 0.3750), Cr at (0.0000, 0.0000, 0.0000) and Ni at (0.0000, 0.2500, 0.8750).


Model ii:
Compound: YCr2Ni
Source: Alexandria
Functional: GGA-PBE
Structure: relaxed

The value obtained for the total magnetization is 0.00 Bohr magnetons per cell. The calculated volume comes out at 16.48 A^3/atom.

The structure belongs to space group P2/m (No. 10); the cell edges are 3.1223, 4.5778 and 4.7020 Å and the angles 90.00°, 101.29° and 90.00°. The inequivalent atoms are Y at (0.0000, 0.0000, 0.0000), Cr at (0.3203, 0.5000, 0.6670) and Ni at (0.5000, 0.0000, 0.5000).


Model iii:
Compound: YCr2Ni
Source: Alexandria
Functional: GGA-PBE
Structure: relaxed

The value obtained for the total magnetization is 32.27 Bohr magnetons per cell. The calculated volume comes out at 17.30 A^3/atom.

The structure belongs to space group Fm-3m (No. 225); the cell edges are 6.5165, 6.5165 and 6.5165 Å and the angles 90.00°, 90.00° and 90.00°. The inequivalent atoms are Y at (0.0000, 0.0000, 0.0000), Cr at (0.2500, 0.2500, 0.2500) and Ni at (0.0000, 0.0000, 0.5000).


Of them, model i has the lowest stability.


Model i:
Compound: Y2CrNi
Source: Alexandria
Functional: GGA-PBE
Structure: relaxed

The value obtained for the total magnetization is 3.57 Bohr magnetons per cell. The calculated volume comes out at 21.84 A^3/atom.

The structure belongs to space group P4mm (No. 99); the cell edges are 3.3581, 3.3581 and 7.7465 Å and the angles 90.00°, 90.00° and 90.00°. The inequivalent atoms are Y at (0.0000, 0.0000, 0.0000), Y at (0.5000, 0.5000, 0.3748), Cr at (0.0000, 0.0000, 0.6329) and Ni at (0.5000, 0.5000, 0.7706).


Model ii:
Compound: Y2CrNi
Source: Alexandria
Functional: GGA-PBE
Structure: relaxed

The value obtained for the total magnetization is 5.59 Bohr magnetons per cell. The calculated volume comes out at 21.99 A^3/atom.

The structure belongs to space group Amm2 (No. 38); the cell edges are 3.7762, 4.3210 and 10.7834 Å and the angles 90.00°, 90.00° and 90.00°. The inequivalent atoms are Y at (0.0000, 0.0000, 0.0000), Y at (0.5000, 0.0000, 0.2923), Cr at (0.0000, 0.0000, 0.7002) and Ni at (0.5000, 0.0000, 0.5664).


Of them, model i has the lowest stability.


Model i:
Compound: Y2CrNi
Source: Alexandria
Functional: GGA-PBE
Structure: relaxed

The value obtained for the total magnetization is 13.12 Bohr magnetons per cell. The calculated volume comes out at 22.71 A^3/atom.

The structure belongs to space group I-42d (No. 122); the cell edges are 7.6796, 7.6796 and 6.1600 Å and the angles 90.00°, 90.00° and 90.00°. The inequivalent atoms are Y at (0.2085, 0.2500, 0.1250), Cr at (0.0000, 0.0000, 0.5000) and Ni at (0.0000, 0.0000, 0.0000).


Model ii:
Compound: Y2CrNi
Source: Alexandria
Functional: GGA-PBE
Structure: relaxed

The value obtained for the total magnetization is 11.45 Bohr magnetons per cell. The calculated volume comes out at 23.89 A^3/atom.

The structure belongs to space group R-3m (No. 166, hexagonal axes); the cell edges are 3.7433, 3.7433 and 23.6193 Å and the angles 90.00°, 90.00° and 120.00°. The inequivalent atoms are Y at (0.0000, 0.0000, 0.2372), Cr at (0.0000, 0.0000, 0.0000) and Ni at (0.0000, 0.0000, 0.5000).


Of them, model i has the lowest stability.